# Pr3Ho2Sc2

Pr3Ho2Sc2 after structural relaxation (GGA-PBE, the Alexandria database).

Values from the calculation:
Its symmetry is C2/m (12). The value obtained for the energy relative to the lowest polymorph listed for this composition is 88 meV/atom. The calculated formation energy is 0.1329 eV/atom.

a b c (Å): 3.454 8.371 8.807
angles (deg): 117.41 101.31 90.00
Fractional positions:
1 Pr 0.000 0.500 0.000
2 Pr 0.214 0.798 0.429
3 Pr 0.786 0.202 0.571
4 Ho 0.865 0.693 0.729
5 Ho 0.135 0.307 0.271
6 Sc 0.564 0.911 0.127
7 Sc 0.436 0.089 0.873